Computed, not measured: crystalline HoEr2Sc2 at its relaxed geometry at the PBE level of DFT.

Calculated values
Total magnetic moment (μB/f.u.): 0.00
ΔE to the lowest computed polymorph (eV/f.u.): 0.17
E_form (eV/f.u.): 0.37

a b c (Å): 9.0086 9.0086 3.5125
angles (deg): 90.00 90.00 90.00
Space group P4/mbm (No. 127)
Asymmetric unit:
Ho1 0.0000 0.0000 0.0000 (multiplicity 2)
Er1 0.1753 0.3247 0.5000 (multiplicity 4)
Sc1 0.1207 0.6207 0.0000 (multiplicity 4)

---

Computed, not measured: crystalline Ho2Er4Sc at its relaxed geometry at the PBE level of DFT.

Calculated values
Total magnetic moment (μB/f.u.): 0.00
ΔE to the lowest computed polymorph (eV/f.u.): 0.07
E_form (eV/f.u.): 1.38

a b c (Å): 6.6012 8.6435 8.6763
angles (deg): 81.96 67.66 67.56
Space group P1 (No. 1)
Asymmetric unit:
Ho1 0.0000 0.0000 0.0000 (multiplicity 1)
Ho2 0.1269 0.9713 0.5303 (multiplicity 1)
Ho3 0.4482 0.5000 0.4996 (multiplicity 1)
Ho4 0.6279 0.0289 0.4707 (multiplicity 1)
Er1 0.0065 0.6561 0.3362 (multiplicity 1)
Er2 0.4260 0.2411 0.2293 (multiplicity 1)
Er3 0.4754 0.7353 0.7456 (multiplicity 1)
Er4 0.5025 0.1693 0.8335 (multiplicity 1)
Er5 0.5035 0.8312 0.1671 (multiplicity 1)
Er6 0.8963 0.7585 0.7712 (multiplicity 1)
Er7 0.9569 0.2642 0.2548 (multiplicity 1)
Er8 0.9987 0.3441 0.6650 (multiplicity 1)
Sc1 0.1371 0.5248 0.9723 (multiplicity 1)
Sc2 0.6334 0.4754 0.0288 (multiplicity 1)

---

Computed, not measured: crystalline Ho2Er3Sc8 at its relaxed geometry at the PBE level of DFT.

Calculated values
Total magnetic moment (μB/f.u.): 0.00
E_form (eV/f.u.): 3.22

a b c (Å): 13.6955 8.6345 6.5605
angles (deg): 90.00 108.68 90.00
Space group C2/m (No. 12)
Asymmetric unit:
Ho1 0.2310 0.0000 0.4240 (multiplicity 4)
Er1 0.0000 0.0000 0.0000 (multiplicity 2)
Er2 0.0000 0.1806 0.5000 (multiplicity 4)
Sc1 0.0706 0.5000 0.7423 (multiplicity 4)
Sc2 0.1193 0.3168 0.1600 (multiplicity 8)
Sc3 0.1941 0.0000 0.8944 (multiplicity 4)

---

Computed, not measured: crystalline Ho5Er3Sc at its relaxed geometry at the PBE level of DFT.

Calculated values
Total magnetic moment (μB/f.u.): 0.01
E_form (eV/f.u.): 5.46

a b c (Å): 11.9701 11.0875 11.3828
angles (deg): 90.00 119.83 90.00
Space group C2/m (No. 12)
Asymmetric unit:
Ho1 0.0000 0.2164 0.0000 (multiplicity 4)
Ho2 0.0071 0.0000 0.3736 (multiplicity 4)
Ho3 0.1750 0.2437 0.7984 (multiplicity 8)
Ho4 0.1768 0.0000 0.9545 (multiplicity 4)
Er1 0.0000 0.5000 0.0000 (multiplicity 2)
Er2 0.0000 0.5000 0.5000 (multiplicity 2)
Er3 0.1800 0.0000 0.2407 (multiplicity 4)
Er4 0.2175 0.5000 0.3434 (multiplicity 4)
Sc1 0.0701 0.5000 0.7904 (multiplicity 4)